# NdHoZr (GGA-PBE, relaxed)
# - magnetic moment (μB per atom) = 0.000
# - energy relative to the elements (eV/atom) = 0.113
data_NdHoZr
_space_group_name_H-M_alt 'P 3 m 1'
_space_group_IT_number 156
_space_group_name_Hall 'P 3 -2"'
_cell_length_a 3.4438
_cell_length_b 3.4438
_cell_length_c 8.5040
_cell_angle_alpha 90.00
_cell_angle_beta 90.00
_cell_angle_gamma 120.00
loop_
_atom_site_label
_atom_site_fract_x
_atom_site_fract_y
_atom_site_fract_z
_atom_site_occupancy
Nd1 0.0000 0.0000 0.0000 1
Ho1 0.3333 0.6667 0.6281 1
Zr1 0.6667 0.3333 0.3198 1